A relaxed TbNd2Ho6Tm crystal, computed with PBE-GGA.

Lattice parameters (Å, degrees): 9.659 8.742 8.742 118.07 94.58 94.58
Positions (direct):
1 Ho 0.557 0.744 0.125
2 Ho 0.687 0.020 0.575
3 Ho 0.057 0.125 0.744
4 Ho 0.313 0.980 0.425
5 Ho 0.619 0.496 0.707
6 Ho 0.881 0.293 0.504
7 Ho 0.381 0.504 0.293
8 Ho 0.813 0.425 0.980
9 Ho 0.119 0.707 0.496
10 Ho 0.943 0.875 0.256
11 Ho 0.187 0.575 0.020
12 Ho 0.443 0.256 0.875
13 Nd 0.043 0.298 0.195
14 Nd 0.957 0.702 0.805
15 Nd 0.543 0.195 0.298
16 Nd 0.457 0.805 0.702
17 Tm 0.250 0.407 0.593
18 Tm 0.750 0.593 0.407
19 Tb 0.250 0.982 0.018
20 Tb 0.750 0.018 0.982

Calculated values
* theoretical density: 8.29 Mg/m³
* E_tot: -4.494 eV/atom
* energy relative to the elements: 1.2 eV per formula unit


A relaxed TbNdHoTm crystal, computed with PBE-GGA.

Lattice parameters (Å, degrees): 3.435 6.718 5.627 90.01 90.00 90.00
Positions (direct):
1 Ho 0.000 0.195 0.016
2 Tb 0.500 0.688 0.016
3 Tm 0.000 0.456 0.516
4 Nd 0.000 0.942 0.516

Calculated values
* theoretical density: 8.15 Mg/m³
* E_tot: -4.416 eV/atom
* energy relative to the elements: 0.8 eV per formula unit
* E above lowest polymorph: 77 meV per atom


A relaxed TbNdHo3Tm crystal, computed with PBE-GGA.

Lattice parameters (Å, degrees): 5.728 6.497 11.429 90.00 90.00 116.15
Positions (direct):
1 Ho 0.855 0.710 0.250
2 Ho 0.675 0.349 0.026
3 Ho 0.675 0.349 0.474
4 Ho 0.325 0.651 0.526
5 Ho 0.145 0.290 0.750
6 Ho 0.325 0.651 0.974
7 Nd 0.474 0.948 0.250
8 Nd 0.526 0.052 0.750
9 Tm 0.828 0.657 0.750
10 Tm 0.172 0.343 0.250
11 Tb 0.000 0.000 0.000
12 Tb 0.000 0.000 0.500

Calculated values
* theoretical density: 8.41 Mg/m³
* E_tot: -4.473 eV/atom
* energy relative to the elements: 0.8 eV per formula unit


A relaxed Tb2NdHo6Tm crystal, computed with PBE-GGA.

Lattice parameters (Å, degrees): 9.517 8.747 8.747 117.82 93.78 93.78
Positions (direct):
1 Tm 0.250 0.409 0.591
2 Tm 0.750 0.591 0.409
3 Ho 0.118 0.708 0.492
4 Ho 0.443 0.252 0.875
5 Ho 0.684 0.017 0.567
6 Ho 0.316 0.983 0.433
7 Ho 0.618 0.492 0.708
8 Ho 0.184 0.567 0.017
9 Ho 0.943 0.875 0.252
10 Ho 0.816 0.433 0.983
11 Ho 0.882 0.292 0.508
12 Ho 0.382 0.508 0.292
13 Ho 0.557 0.748 0.125
14 Ho 0.057 0.125 0.748
15 Tb 0.046 0.304 0.199
16 Tb 0.954 0.696 0.801
17 Tb 0.546 0.199 0.304
18 Tb 0.454 0.801 0.696
19 Nd 0.750 0.024 0.976
20 Nd 0.250 0.976 0.024

Calculated values
* theoretical density: 8.43 Mg/m³
* E_tot: -4.477 eV/atom
* energy relative to the elements: 1.2 eV per formula unit


A relaxed Tb4Nd2Ho2Tm crystal, computed with PBE-GGA.

Lattice parameters (Å, degrees): 6.182 9.452 7.978 120.46 130.22 56.88
Positions (direct):
1 Tb 0.446 0.221 0.556
2 Tb 0.221 0.111 0.778
3 Tb 0.554 0.779 0.444
4 Tb 0.779 0.889 0.222
5 Nd 0.669 0.332 0.333
6 Nd 0.331 0.668 0.667
7 Ho 0.888 0.444 0.109
8 Ho 0.112 0.556 0.891
9 Tm 0.000 0.000 0.000

Calculated values
* theoretical density: 8.17 Mg/m³
* E_tot: -4.615 eV/atom
* energy relative to the elements: 0.2 eV per formula unit


A relaxed TbNd6Ho2Tm3 crystal, computed with PBE-GGA.

Lattice parameters (Å, degrees): 6.249 6.249 11.786 95.05 95.05 119.99
Positions (direct):
1 Nd 0.582 0.916 0.749
2 Nd 0.916 0.582 0.749
3 Nd 0.084 0.418 0.251
4 Nd 0.751 0.751 0.251
5 Nd 0.418 0.084 0.251
6 Nd 0.249 0.249 0.749
7 Ho 0.333 0.667 0.000
8 Ho 0.667 0.333 0.000
9 Tm 0.167 0.833 0.500
10 Tm 0.833 0.167 0.500
11 Tm 0.500 0.500 0.500
12 Tb 0.000 0.000 0.000

Calculated values
* theoretical density: 7.88 Mg/m³
* E_tot: -4.637 eV/atom
* energy relative to the elements: 0.2 eV per formula unit


A relaxed Tb2NdHo2Tm2 crystal, computed with PBE-GGA.

Lattice parameters (Å, degrees): 3.485 8.954 8.336 116.16 90.00 101.22
Positions (direct):
1 Ho 0.788 0.577 0.203
2 Ho 0.212 0.423 0.797
3 Tb 0.428 0.855 0.087
4 Tb 0.572 0.145 0.913
5 Tm 0.650 0.300 0.392
6 Tm 0.350 0.700 0.608
7 Nd 0.000 0.000 0.500

Calculated values
* theoretical density: 8.23 Mg/m³
* E_tot: -4.440 eV/atom
* energy relative to the elements: 1.0 eV per formula unit


A relaxed Tb2NdHoTm2 crystal, computed with PBE-GGA.

Lattice parameters (Å, degrees): 3.507 16.055 6.926 90.00 90.00 90.00
Positions (direct):
1 Nd 0.000 0.000 0.000
2 Nd 0.500 0.500 0.500
3 Tb 0.000 0.659 0.752
4 Tb 0.500 0.159 0.748
5 Tb 0.500 0.841 0.252
6 Tb 0.000 0.341 0.248
7 Tm 0.500 0.155 0.249
8 Tm 0.000 0.655 0.251
9 Tm 0.500 0.845 0.751
10 Tm 0.000 0.345 0.749
11 Ho 0.000 0.000 0.500
12 Ho 0.500 0.500 0.000

Calculated values
* theoretical density: 8.22 Mg/m³
* E_tot: -4.427 eV/atom
* energy relative to the elements: 1.0 eV per formula unit


A relaxed TbNdHo4Tm2 crystal, computed with PBE-GGA.

Lattice parameters (Å, degrees): 9.459 9.459 11.715 128.26 128.26 88.72
Positions (direct):
1 Tb 0.000 0.000 0.000
2 Tb 0.500 0.500 0.500
3 Ho 0.750 0.246 0.498
4 Ho 0.254 0.750 0.002
5 Ho 0.746 0.752 0.001
6 Ho 0.250 0.754 0.502
7 Ho 0.252 0.246 0.501
8 Ho 0.748 0.754 0.499
9 Ho 0.254 0.248 0.999
10 Ho 0.746 0.250 0.998
11 Tm 0.500 0.000 0.500
12 Tm 0.500 0.000 0.000
13 Tm 0.500 0.500 0.000
14 Tm 0.000 0.000 0.500
15 Nd 0.000 0.500 0.000
16 Nd 0.000 0.500 0.500

Calculated values
* theoretical density: 8.25 Mg/m³
* E_tot: -4.140 eV/atom
* energy relative to the elements: 3.5 eV per formula unit


A relaxed TbNd2Ho6Tm3 crystal, computed with PBE-GGA.

Lattice parameters (Å, degrees): 6.138 6.138 11.732 94.99 94.99 119.95
Positions (direct):
1 Ho 0.418 0.086 0.254
2 Ho 0.582 0.914 0.746
3 Ho 0.914 0.582 0.746
4 Ho 0.086 0.418 0.254
5 Ho 0.753 0.753 0.254
6 Ho 0.247 0.247 0.746
7 Tb 0.000 0.000 0.000
8 Nd 0.667 0.333 0.000
9 Nd 0.333 0.667 0.000
10 Tm 0.166 0.834 0.500
11 Tm 0.834 0.166 0.500
12 Tm 0.500 0.500 0.500

Calculated values
* theoretical density: 8.56 Mg/m³
* E_tot: -4.566 eV/atom
* energy relative to the elements: 0.3 eV per formula unit


| no. | total magnetization (μB per atom) |
| --- | --- |
| 1 | 0.000 |
| 2 | 0.000 |
| 3 | 0.000 |
| 4 | 0.000 |
| 5 | 0.000 |
| 6 | 0.000 |
| 7 | 0.000 |
| 8 | 0.002 |
| 9 | 0.386 |
| 10 | 0.000 |